# 1
CsErAu2 PBE-GGA relaxed; E = -3.520 eV per atom; E_form = -0.53 eV per atom; DOS(E_F) = 2.70 states/eV/f.u.
1.0
3.749 0.000 0.000
0.000 3.749 0.000
0.000 0.000 8.548
Er Cs Au
1 1 2
Direct
0.500 0.500 0.000
0.500 0.500 0.500
0.000 0.000 0.171
0.000 0.000 0.829


# 2
La12Pm5Tm2 PBE-GGA relaxed; E = -4.748 eV per atom; distance to the lowest polymorph of the same formula = 0.000 eV/atom; E_form = 0.09 eV per atom; DOS(E_F) = 29.77 states/eV/f.u.
1.0
-1.245 -5.622 -2.669
8.871 -5.620 2.996
-1.511 -6.131 8.907
Pm La Tm
5 12 2
Direct
0.560 0.785 0.785
0.853 0.321 0.321
0.147 0.679 0.679
0.440 0.215 0.215
0.500 0.000 0.000
0.007 0.884 0.884
0.621 0.147 0.644
0.730 0.554 0.554
0.379 0.853 0.356
0.802 0.936 0.453
0.802 0.453 0.936
0.378 0.356 0.852
0.993 0.116 0.116
0.198 0.547 0.064
0.270 0.446 0.446
0.198 0.064 0.547
0.622 0.644 0.148
0.000 0.234 0.766
0.000 0.766 0.234


# 3
Ca5In4Pb PBE-GGA relaxed; E = -2.947 eV per atom; E_form = -0.48 eV per atom; DOS(E_F) = 5.11 states/eV/f.u.
1.0
3.866 0.000 0.000
0.000 3.866 0.000
0.000 0.000 19.423
Ca In Pb
5 4 1
Direct
0.500 0.500 0.107
0.500 0.500 0.893
0.500 0.500 0.500
0.500 0.500 0.697
0.500 0.500 0.303
0.000 0.000 0.792
0.000 0.000 0.400
0.000 0.000 0.208
0.000 0.000 0.600
0.000 0.000 0.000


# 4
TeSe2SN PBE-GGA relaxed; E = -3.202 eV per atom; distance to the lowest polymorph of the same formula = 0.407 eV/atom; DOS(E_F) = 4.19 states/eV/f.u.; formation energy from raw total energies = 1.311 eV/atom
1.0
-0.292 -3.720 -3.895
4.189 -2.609 2.178
-2.459 -2.112 2.201
Se Te S N
2 1 1 1
Direct
0.500 0.000 0.000
0.000 0.500 0.000
0.000 0.000 0.000
0.500 0.500 0.500
0.000 0.000 0.500


# 5
SrCu2S PBE-GGA relaxed; E = -3.833 eV per atom; DOS(E_F) = 2.17 states/eV/f.u.; formation energy from raw total energies = -0.332 eV/atom
1.0
-2.091 0.121 4.143
-0.362 -4.628 -0.048
6.133 -2.869 5.779
S Cu Sr
2 4 2
Direct
0.500 0.500 0.000
0.250 0.750 0.500
0.375 0.625 0.750
0.375 0.125 0.250
0.375 0.625 0.250
0.875 0.625 0.750
0.000 0.000 0.000
0.750 0.250 0.500


# 6
LiPrGe2Ir PBE-GGA relaxed; E = -5.630 eV per atom; E_form = -0.67 eV per atom; DOS(E_F) = 3.33 states/eV/f.u.
1.0
-0.028 -1.399 3.982
4.051 1.109 0.418
-3.490 4.918 -0.534
Ir Ge Li Pr
1 2 1 1
Direct
0.250 0.750 0.500
0.624 0.624 0.247
0.376 0.376 0.753
0.750 0.250 0.500
0.000 0.000 0.000


# 7
TbHf2Nb PBE-GGA relaxed; E = -8.306 eV per atom; distance to the lowest polymorph of the same formula = 0.226 eV/atom; E_form = 0.35 eV per atom; DOS(E_F) = 5.28 states/eV/f.u.
1.0
3.171 0.000 0.000
1.586 2.746 0.000
1.586 0.915 10.951
Nb Hf Tb
1 2 1
Direct
0.500 0.500 0.500
0.096 0.096 0.713
0.904 0.904 0.287
0.000 0.000 0.000


# 8
YAg2HgAs PBE-GGA relaxed; E = -2.952 eV per atom; E_form = 0.47 eV per atom; DOS(E_F) = 3.16 states/eV/f.u.
1.0
5.063 0.000 0.000
0.000 5.711 0.000
0.000 0.000 5.063
Hg As Ag Y
1 1 2 1
Direct
0.000 0.000 0.000
0.500 0.500 0.500
0.500 0.000 0.000
0.000 0.000 0.500
0.000 0.500 0.000